Model one:
# Zr3Al2Ni

A geometry-optimized Zr3Al2Ni structure (GGA-PBE, the Alexandria database).

Spin magnetization   0.0 μB per formula unit
Mass density   5.307 g/cm³

```
data_Zr3Al2Ni
_chemical_formula_sum 'Zr6 Al4 Ni2'
_cell_length_a 6.2023
_cell_length_b 6.2023
_cell_length_c 7.2569
_cell_angle_alpha 90.00
_cell_angle_beta 90.00
_cell_angle_gamma 120.00
_symmetry_space_group_name_H-M 'P 63/m m c'
_symmetry_Int_Tables_number 194
_symmetry_space_group_name_Hall '-P 6c 2c'
loop_
_atom_site_label
_atom_site_fract_x
_atom_site_fract_y
_atom_site_fract_z
Zr1 0.1700 0.3401 0.2500
Al1 0.3333 0.6667 0.5794
Ni1 0.0000 0.0000 0.0000
```

---

Model two:
# Zr3Al2Ni

A geometry-optimized Zr3Al2Ni structure (GGA-PBE, the Alexandria database).

Spin magnetization   0.0 μB per formula unit
Mass density   5.639 g/cm³

```
data_Zr3Al2Ni
_chemical_formula_sum 'Zr6 Al4 Ni2'
_cell_length_a 5.9994
_cell_length_b 5.9994
_cell_length_c 7.3018
_cell_angle_alpha 90.00
_cell_angle_beta 90.00
_cell_angle_gamma 120.00
_symmetry_space_group_name_H-M 'P -3 m 1'
_symmetry_Int_Tables_number 164
_symmetry_space_group_name_Hall '-P 3 2"'
loop_
_atom_site_label
_atom_site_fract_x
_atom_site_fract_y
_atom_site_fract_z
Zr1 0.1690 0.3379 0.3275
Al1 0.0000 0.0000 0.0000
Al2 0.0000 0.5000 0.0000
Ni1 0.3333 0.6667 0.6709
```

---

Model three:
# Zr3Al2Ni

A geometry-optimized Zr3Al2Ni structure (GGA-PBE, the Alexandria database).

Spin magnetization   0.0 μB per formula unit
Mass density   5.820 g/cm³

```
data_Zr3Al2Ni
_chemical_formula_sum 'Zr6 Al4 Ni2'
_cell_length_a 4.830
_cell_length_b 14.634
_cell_length_c 3.119
_cell_angle_alpha 90.00
_cell_angle_beta 90.00
_cell_angle_gamma 90.00
_symmetry_space_group_name_H-M 'C m m m'
_symmetry_Int_Tables_number 65
_symmetry_space_group_name_Hall '-C 2 2'
loop_
_atom_site_label
_atom_site_fract_x
_atom_site_fract_y
_atom_site_fract_z
Zr1 0.000 0.000 0.000
Zr2 0.000 0.182 0.500
Al1 0.000 0.367 0.000
Ni1 0.000 0.500 0.500
```

---

Model four:
# Zr3Al2Ni

A geometry-optimized Zr3Al2Ni structure (GGA-PBE, the Alexandria database).

Spin magnetization   0.0 μB per formula unit
Mass density   5.001 g/cm³

```
data_Zr3Al2Ni
_chemical_formula_sum 'Zr3 Al2 Ni1'
_cell_length_a 5.4505
_cell_length_b 5.4505
_cell_length_c 4.9854
_cell_angle_alpha 90.00
_cell_angle_beta 90.00
_cell_angle_gamma 120.00
_symmetry_space_group_name_H-M 'P 6/m m m'
_symmetry_Int_Tables_number 191
_symmetry_space_group_name_Hall '-P 6 2'
loop_
_atom_site_label
_atom_site_fract_x
_atom_site_fract_y
_atom_site_fract_z
Zr1 0.0000 0.5000 0.0000
Al1 0.3333 0.6667 0.5000
Ni1 0.0000 0.0000 0.5000
```

---

Q: Which of them is the most stable? A: model three.

---

Model one:
# ZrAl2Ni3

A geometry-optimized ZrAl2Ni3 structure (GGA-PBE, the Alexandria database).

Spin magnetization   0.0 μB per formula unit
Mass density   6.293 g/cm³

```
data_ZrAl2Ni3
_chemical_formula_sum 'Zr1 Al2 Ni3'
_cell_length_a 5.0738
_cell_length_b 5.0738
_cell_length_c 3.8021
_cell_angle_alpha 90.00
_cell_angle_beta 90.00
_cell_angle_gamma 120.00
_symmetry_space_group_name_H-M 'P 6/m m m'
_symmetry_Int_Tables_number 191
_symmetry_space_group_name_Hall '-P 6 2'
loop_
_atom_site_label
_atom_site_fract_x
_atom_site_fract_y
_atom_site_fract_z
Zr1 0.0000 0.0000 0.0000
Al1 0.3333 0.6667 0.0000
Ni1 0.0000 0.5000 0.5000
```

---

Model two:
# ZrAl2Ni3

A geometry-optimized ZrAl2Ni3 structure (GGA-PBE, the Alexandria database).

Spin magnetization   0.0 μB per formula unit
Mass density   6.361 g/cm³

```
data_ZrAl2Ni3
_chemical_formula_sum 'Zr2 Al4 Ni6'
_cell_length_a 3.020
_cell_length_b 13.075
_cell_length_c 4.247
_cell_angle_alpha 90.00
_cell_angle_beta 90.00
_cell_angle_gamma 90.00
_symmetry_space_group_name_H-M 'C m m m'
_symmetry_Int_Tables_number 65
_symmetry_space_group_name_Hall '-C 2 2'
loop_
_atom_site_label
_atom_site_fract_x
_atom_site_fract_y
_atom_site_fract_z
Zr1 0.000 0.000 0.000
Al1 0.000 0.162 0.500
Ni1 0.000 0.328 0.000
Ni2 0.000 0.500 0.500
```

---

Q: Which of them is the most stable? A: model one.